First-principles (GGA-PBE) data for crystalline NbCrBr at its relaxed geometry, as listed in Alexandria.

a = 3.2346 Å, b = 3.2346 Å, c = 6.3336 Å
α = 90.00°, β = 90.00°, γ = 120.00°
Last column: nearest neighbours and their distance in Å.
Positions (direct):
Nb: 0.0000 0.0000 0.0000  3 Cr 2.51, 3 Br 2.80
Cr: 0.3333 0.6667 0.7354  3 Nb 2.51, 1 Br 2.57
Br: 0.3333 0.6667 0.3293  1 Cr 2.57, 3 Nb 2.80

As for the size of the total moment: 0.1551 μB/atom. As for the energy above the most stable polymorph in this dataset: 0.89 eV/f.u. The calculation puts the uncorrected formation energy at 26.8 kJ/mol of atoms. The symmetry is No. 156.